Here is a relaxed Er3WCl2O6 crystal from Alexandria via LeMat-Bulk. Energies are from GGA+U.

a b c (Å): 6.6024 6.6024 5.4300
angles (deg): 99.07 99.07 59.10
With the nearest neighbours (Å) after each atom.
Fractional positions:
Er 0.0000 0.0000 0.0000  4 O 2.35, 2 Cl 2.63
Er 0.0000 0.5000 0.5000  4 O 2.15-2.26
Er 0.5000 0.0000 0.5000  4 O 2.15-2.26
W 0.5000 0.5000 0.5000  6 O 2.00-2.10
Cl 0.2044 0.2044 0.8483  3 Er 2.62-2.63, 1 O 2.76
Cl 0.7956 0.7956 0.1517  3 Er 2.62-2.63, 1 O 2.76
O 0.1988 0.6811 0.7027  1 W 2.10, 2 Er 2.26-2.35
O 0.3189 0.8012 0.2973  1 W 2.10, 2 Er 2.26-2.35
O 0.3304 0.3304 0.3321  1 W 2.00, 2 Er 2.15
O 0.6696 0.6696 0.6679  1 W 2.00, 2 Er 2.15
O 0.6811 0.1988 0.7027  1 W 2.10, 2 Er 2.26-2.35
O 0.8012 0.3189 0.2973  1 W 2.10, 2 Er 2.26-2.35

Computed properties:
* magnetic moment: 1.0 μB per formula unit
* Fermi-level density of states: 0.00 states/eV/f.u.
* total DFT energy (no corrections): -7.13 eV per atom
* SG: C2/m (12)